Entry from Alexandria via LeMat-Bulk: a geometry-optimized DyLuPu2 structure (PBE).

abc: 3.409 3.409 11.497
angles: 81.48 81.48 60.00
Site moments in Bohr magnetons follow the coordinates.
Atoms (fractional coordinates):
Pu 0.749 0.749 0.752  -5.49
Pu 0.251 0.251 0.248  -5.49
Dy 0.500 0.500 0.500  -0.07
Lu 0.000 0.000 0.000  -0.10

Results
ρ = 12026 kg/m³
Distance to the lowest polymorph of the same formula = 9 meV per atom
Space-group type = R-3m
Spin magnetization = 11.907 μB/f.u.
Crystal system = trigonal


Entry from Alexandria via LeMat-Bulk: a geometry-optimized NaY5Tl6 structure (PBE).

abc: 5.354 7.575 8.507
angles: 90.00 71.66 90.00
Atoms (fractional coordinates):
Tl 0.834 0.752 0.332
Tl 0.166 0.752 0.668
Tl 0.834 0.248 0.332
Y 0.664 0.500 0.671
Y 0.663 0.000 0.673
Tl 0.500 0.245 0.000
Y 0.336 0.500 0.329
Y 0.000 0.500 0.000
Tl 0.500 0.755 0.000
Tl 0.166 0.248 0.668
Y 0.337 0.000 0.327
Na 0.000 0.000 0.000

Results
ρ = 8589 kg/m³
Space-group type = Cmmm
Spin magnetization = 0.005 μB/f.u.
Electronic total energy = -0.3175 Ry per atom
Crystal system = orthorhombic


Entry from Alexandria via LeMat-Bulk: a geometry-optimized Sc2MoH structure (PBE).

abc: 6.113 6.113 5.512
angles: 56.32 56.32 90.00
Atoms (fractional coordinates):
H 0.250 0.750 0.500
Sc 0.525 0.125 0.250
Mo 0.000 0.000 0.000
Sc 0.875 0.775 0.750
Mo 0.750 0.250 0.500
Sc 0.225 0.625 0.250
Sc 0.375 0.475 0.750
H 0.500 0.500 0.000

Results
ρ = 4856 kg/m³
Distance to the lowest polymorph of the same formula = 0 meV per atom
Space-group type = I-42d
Spin magnetization = 0.000 μB/f.u.
Crystal system = tetragonal


Entry from Alexandria via LeMat-Bulk: a geometry-optimized KSrLa2Os structure (PBE).

abc: 5.654 5.654 6.377
angles: 90.00 90.00 90.00
Atoms (fractional coordinates):
La 0.000 0.500 0.000
La 0.500 0.000 0.000
Sr 0.000 0.000 0.500
Os 0.000 0.000 0.000
K 0.500 0.500 0.500

Results
ρ = 4845 kg/m³
Space-group type = P4/mmm
Spin magnetization = 0.000 μB/f.u.
Electronic total energy = -0.3437 Ry per atom
Crystal system = tetragonal